# Na4ZrPa3N8

A geometry-optimized Na4ZrPa3N8 structure (PBE, Alexandria).

CIF file:
```
data_Na4ZrPa3N8
_chemical_formula_sum 'Na12 Zr3 Pa9 N24'
_cell_length_a 7.0209
_cell_length_b 7.0209
_cell_length_c 17.1095
_cell_angle_alpha 90.00
_cell_angle_beta 90.00
_cell_angle_gamma 120.00
_symmetry_space_group_name_H-M 'R -3 m'
_symmetry_Int_Tables_number 166
_symmetry_space_group_name_Hall '-R 3 2"'
loop_
_atom_site_label
_atom_site_type_symbol
_atom_site_fract_x
_atom_site_fract_y
_atom_site_fract_z
Na1 Na 0.0000 0.0000 0.0000
Na2 Na 0.0000 0.5000 0.0000
Zr1 Zr 0.0000 0.0000 0.5000
Pa1 Pa 0.0000 0.5000 0.5000
N1 N 0.0000 0.0000 0.2288
N2 N 0.0018 0.5009 0.2289
```

* Fermi-level density of states: 0.604 states/eV/atom
* ΔE_f (raw): -1.1158 eV/atom